Entry from Alexandria via LeMat-Bulk: a geometry-optimized InPbBr structure (PBE-GGA).

The structure in POSCAR format:
```
InPbBr
1.0
3.7322 0.0000 0.0000
-1.8661 3.2322 0.0000
0.0000 0.0000 7.5435
In Pb Br
1 1 1
Direct
0.0000 0.0000 0.0000 In
0.6667 0.3333 0.3239 Pb
0.3333 0.6667 0.7291 Br
```

Formation energy from raw total energies (meV/atom): -243
Energy above the most stable polymorph in this dataset (meV per atom): 66
ρ (g cm⁻³): 7.33
Volume (Å³/cell): 91.0
Raw total energy (eV/cell): -8.8
Space-group type: P3m1